Run 1
# CsBa2Br5 PBE relaxed
data_CsBa2Br5
_symmetry_space_group_name_H-M 'P 1'
_symmetry_Int_Tables_number 1
_symmetry_space_group_name_Hall 'P 1'
_cell_length_a 10.1308
_cell_length_b 8.8337
_cell_length_c 14.2148
_cell_angle_alpha 90.00
_cell_angle_beta 90.19
_cell_angle_gamma 90.00
loop_
_atom_site_label
_atom_site_fract_x
_atom_site_fract_y
_atom_site_fract_z
Cs1 0.0113 0.0532 0.3336
Cs2 0.0113 0.4468 0.8336
Cs3 0.9887 0.5532 0.1664
Cs4 0.9887 0.9468 0.6664
Ba1 0.2540 0.5678 0.4934
Ba2 0.2540 0.9322 0.9934
Ba3 0.4985 0.5238 0.1775
Ba4 0.4985 0.9762 0.6775
Ba5 0.5015 0.0238 0.3225
Ba6 0.5015 0.4762 0.8225
Ba7 0.7460 0.0678 0.0066
Ba8 0.7460 0.4322 0.5066
Br1 0.0346 0.1709 0.0809
Br2 0.0346 0.3291 0.5809
Br3 0.2752 0.6923 0.7163
Br4 0.2752 0.8077 0.2163
Br5 0.2887 0.5504 0.9972
Br6 0.2887 0.9496 0.4972
Br7 0.2904 0.1684 0.8159
Br8 0.2904 0.3316 0.3159
Br9 0.4616 0.1606 0.1014
Br10 0.4616 0.3394 0.6014
Br11 0.5384 0.6606 0.3986
Br12 0.5384 0.8394 0.8986
Br13 0.7096 0.6684 0.6841
Br14 0.7096 0.8316 0.1841
Br15 0.7113 0.0504 0.5028
Br16 0.7113 0.4496 0.0028
Br17 0.7248 0.1923 0.7837
Br18 0.7248 0.3077 0.2837
Br19 0.9654 0.6709 0.4191
Br20 0.9654 0.8291 0.9191
# Space group   P2_1/c, No. 14
# DOS(E_F)   0.00 states/eV/f.u.

Run 2
# CsBa2Br5 PBE relaxed
data_CsBa2Br5
_symmetry_space_group_name_H-M 'P 1'
_symmetry_Int_Tables_number 1
_symmetry_space_group_name_Hall 'P 1'
_cell_length_a 9.7669
_cell_length_b 9.7669
_cell_length_c 9.7669
_cell_angle_alpha 150.59
_cell_angle_beta 130.99
_cell_angle_gamma 58.19
loop_
_atom_site_label
_atom_site_fract_x
_atom_site_fract_y
_atom_site_fract_z
Cs1 0.0000 0.0000 0.0000
Ba1 0.3146 0.8146 0.5000
Ba2 0.6854 0.1854 0.5000
Br1 0.0813 0.3449 0.7364
Br2 0.3915 0.6551 0.7364
Br3 0.5000 0.0000 0.5000
Br4 0.6085 0.3449 0.2636
Br5 0.9187 0.6551 0.2636
# Space group   Immm, No. 71
# DOS(E_F)   0.00 states/eV/f.u.

Verdict on stability: run 1 comes out on top.

Run 1
# CsBaSeBr2 PBE relaxed
data_CsBaSeBr2
_symmetry_space_group_name_H-M 'P 1'
_symmetry_Int_Tables_number 1
_symmetry_space_group_name_Hall 'P 1'
_cell_length_a 6.3492
_cell_length_b 6.3492
_cell_length_c 6.3704
_cell_angle_alpha 90.00
_cell_angle_beta 90.00
_cell_angle_gamma 90.00
loop_
_atom_site_label
_atom_site_fract_x
_atom_site_fract_y
_atom_site_fract_z
Cs1 0.0000 0.0000 0.0000
Ba1 0.5000 0.5000 0.5000
Se1 0.5000 0.5000 0.0000
Br1 0.0000 0.5000 0.5000
Br2 0.5000 0.0000 0.5000
# Space group   P4/mmm, No. 123
# DOS(E_F)   7.42 states/eV/f.u.

Run 2
# CsBaSeBr2 PBE relaxed
data_CsBaSeBr2
_symmetry_space_group_name_H-M 'P 1'
_symmetry_Int_Tables_number 1
_symmetry_space_group_name_Hall 'P 1'
_cell_length_a 6.3402
_cell_length_b 6.3402
_cell_length_c 5.8051
_cell_angle_alpha 90.00
_cell_angle_beta 90.00
_cell_angle_gamma 90.00
loop_
_atom_site_label
_atom_site_fract_x
_atom_site_fract_y
_atom_site_fract_z
Cs1 0.0000 0.0000 0.0000
Ba1 0.5000 0.5000 0.5000
Se1 0.0000 0.0000 0.5000
Br1 0.0000 0.5000 0.0000
Br2 0.5000 0.0000 0.0000
# Space group   P4/mmm, No. 123
# DOS(E_F)   4.56 states/eV/f.u.

Verdict on stability: run 1 comes out on top.

Run 1
# Cs2BaSrBr6 PBE relaxed
data_Cs2BaSrBr6
_symmetry_space_group_name_H-M 'P 1'
_symmetry_Int_Tables_number 1
_symmetry_space_group_name_Hall 'P 1'
_cell_length_a 8.4232
_cell_length_b 8.7806
_cell_length_c 14.7185
_cell_angle_alpha 90.00
_cell_angle_beta 124.73
_cell_angle_gamma 90.00
loop_
_atom_site_label
_atom_site_fract_x
_atom_site_fract_y
_atom_site_fract_z
Cs1 0.2286 0.0630 0.2500
Cs2 0.2286 0.4370 0.7500
Cs3 0.7714 0.5630 0.2500
Cs4 0.7714 0.9370 0.7500
Ba1 0.5000 0.0000 0.0000
Ba2 0.5000 0.5000 0.5000
Sr1 0.0000 0.0000 0.5000
Sr2 0.0000 0.5000 0.0000
Br1 0.1444 0.2125 0.9488
Br2 0.1444 0.2875 0.4488
Br3 0.2420 0.6996 0.9514
Br4 0.2420 0.8004 0.4514
Br5 0.3386 0.0296 0.7429
Br6 0.3386 0.4704 0.2429
Br7 0.6614 0.5296 0.7571
Br8 0.6614 0.9704 0.2571
Br9 0.7580 0.1996 0.5486
Br10 0.7580 0.3004 0.0486
Br11 0.8556 0.7125 0.5512
Br12 0.8556 0.7875 0.0512
# Space group   P2_1/c, No. 14
# DOS(E_F)   0.00 states/eV/f.u.

Run 2
# Cs2BaSrBr6 PBE relaxed
data_Cs2BaSrBr6
_symmetry_space_group_name_H-M 'P 1'
_symmetry_Int_Tables_number 1
_symmetry_space_group_name_Hall 'P 1'
_cell_length_a 8.7387
_cell_length_b 8.7387
_cell_length_c 8.7387
_cell_angle_alpha 60.00
_cell_angle_beta 60.00
_cell_angle_gamma 60.00
loop_
_atom_site_label
_atom_site_fract_x
_atom_site_fract_y
_atom_site_fract_z
Cs1 0.2500 0.2500 0.2500
Cs2 0.7500 0.7500 0.7500
Ba1 0.0000 0.0000 0.0000
Sr1 0.5000 0.5000 0.5000
Br1 0.2561 0.2561 0.7439
Br2 0.2561 0.7439 0.2561
Br3 0.2561 0.7439 0.7439
Br4 0.7439 0.2561 0.2561
Br5 0.7439 0.2561 0.7439
Br6 0.7439 0.7439 0.2561
# Space group   Fm-3m, No. 225
# DOS(E_F)   0.00 states/eV/f.u.

Verdict on stability: run 1 comes out on top.

Run 1
# BaCuBr3 PBE relaxed
data_BaCuBr3
_symmetry_space_group_name_H-M 'P 1'
_symmetry_Int_Tables_number 1
_symmetry_space_group_name_Hall 'P 1'
_cell_length_a 6.2701
_cell_length_b 6.2701
_cell_length_c 6.2701
_cell_angle_alpha 90.00
_cell_angle_beta 90.00
_cell_angle_gamma 90.00
loop_
_atom_site_label
_atom_site_fract_x
_atom_site_fract_y
_atom_site_fract_z
Ba1 0.0000 0.0000 0.0000
Cu1 0.5000 0.5000 0.5000
Br1 0.0000 0.0000 0.5000
Br2 0.0000 0.5000 0.0000
Br3 0.5000 0.0000 0.0000
# Space group   Pm-3m, No. 221
# DOS(E_F)   0.43 states/eV/f.u.

Run 2
# BaCuBr3 PBE relaxed
data_BaCuBr3
_symmetry_space_group_name_H-M 'P 1'
_symmetry_Int_Tables_number 1
_symmetry_space_group_name_Hall 'P 1'
_cell_length_a 7.0853
_cell_length_b 8.8263
_cell_length_c 12.3907
_cell_angle_alpha 90.00
_cell_angle_beta 124.71
_cell_angle_gamma 90.00
loop_
_atom_site_label
_atom_site_fract_x
_atom_site_fract_y
_atom_site_fract_z
Ba1 0.1959 0.1180 0.2489
Ba2 0.1959 0.3820 0.7489
Ba3 0.8041 0.6180 0.2511
Ba4 0.8041 0.8820 0.7511
Cu1 0.1365 0.6209 0.0643
Cu2 0.1365 0.8791 0.5643
Cu3 0.8635 0.1209 0.4357
Cu4 0.8635 0.3791 0.9357
Br1 0.1035 0.1788 0.9477
Br2 0.1035 0.3212 0.4477
Br3 0.2923 0.6792 0.9395
Br4 0.2923 0.8208 0.4395
Br5 0.3675 0.0321 0.7520
Br6 0.3675 0.4679 0.2520
Br7 0.6325 0.5321 0.7480
Br8 0.6325 0.9679 0.2480
Br9 0.7077 0.1792 0.5605
Br10 0.7077 0.3208 0.0605
Br11 0.8965 0.6788 0.5523
Br12 0.8965 0.8212 0.0523
# Space group   P2_1/c, No. 14
# DOS(E_F)   0.00 states/eV/f.u.

Verdict on stability: run 2 comes out on top.

Run 1
# Ba2CuBr PBE relaxed
data_Ba2CuBr
_symmetry_space_group_name_H-M 'P 1'
_symmetry_Int_Tables_number 1
_symmetry_space_group_name_Hall 'P 1'
_cell_length_a 7.6234
_cell_length_b 7.6234
_cell_length_c 7.6234
_cell_angle_alpha 112.29
_cell_angle_beta 112.29
_cell_angle_gamma 103.97
loop_
_atom_site_label
_atom_site_fract_x
_atom_site_fract_y
_atom_site_fract_z
Ba1 0.1073 0.6250 0.9823
Ba2 0.3750 0.3573 0.4823
Ba3 0.6427 0.1250 0.0177
Ba4 0.8750 0.8927 0.5177
Cu1 0.0000 0.0000 0.0000
Cu2 0.7500 0.2500 0.5000
Br1 0.2500 0.7500 0.5000
Br2 0.5000 0.5000 0.0000
# Space group   I-42d, No. 122
# DOS(E_F)   2.36 states/eV/f.u.

Run 2
# Ba2CuBr PBE relaxed
data_Ba2CuBr
_symmetry_space_group_name_H-M 'P 1'
_symmetry_Int_Tables_number 1
_symmetry_space_group_name_Hall 'P 1'
_cell_length_a 5.7161
_cell_length_b 5.7161
_cell_length_c 5.7161
_cell_angle_alpha 60.00
_cell_angle_beta 60.00
_cell_angle_gamma 60.00
loop_
_atom_site_label
_atom_site_fract_x
_atom_site_fract_y
_atom_site_fract_z
Ba1 0.0000 0.0000 0.0000
Ba2 0.2500 0.2500 0.2500
Cu1 0.5000 0.5000 0.5000
Br1 0.7500 0.7500 0.7500
# Space group   F-43m, No. 216
# DOS(E_F)   5.65 states/eV/f.u.

Verdict on stability: run 1 comes out on top.